First-principles (GGA+U) data for a relaxed structure of Pm2VHgO6, as listed in Alexandria via LeMat-Bulk.

Cell: 5.409 5.409 5.313 Å, 90.00 90.00 90.00°
Space group P4mm (No. 99)
One atom of each set of equivalent atoms:
Pm1 0.000 0.500 0.000 (multiplicity 2)
V1 0.000 0.000 0.612 (multiplicity 1)
Hg1 0.500 0.500 0.531 (multiplicity 1)
O1 0.000 0.000 0.277 (multiplicity 1)
O2 0.232 0.232 0.760 (multiplicity 4)
O3 0.500 0.500 0.136 (multiplicity 1)

Properties
The calculation puts the theoretical density at 6.81 g cm⁻³. The calculated total energy comes out at -6.935 eV per atom.